1.
Computed, not measured: a relaxed structure of PmAl2Cu10 at the GGA-PBE level of DFT.

Results
Magnetization   0.0 μB per cell
Calculated total energy   -4.23 eV per atom
Formation enthalpy at 0 K   -140 meV/atom
Calculated density   7.57 g/cm³

Cell: 4.975 6.664 6.449 Å, 81.72 67.31 68.08°
Positions (direct):
1 Cu 0.501 0.222 0.776
2 Cu 0.003 0.351 0.643
3 Cu 0.723 0.778 0.776
4 Cu 0.997 0.649 0.357
5 Al 0.500 0.500 0.000
6 Cu 0.646 0.351 0.357
7 Cu 0.500 0.000 0.500
8 Cu 0.354 0.649 0.643
9 Cu 0.277 0.222 0.224
10 Cu 0.499 0.778 0.224
11 Cu 0.000 0.000 0.500
12 Al 0.000 0.500 0.000
13 Pm 0.000 0.000 0.000


2.
Computed, not measured: a relaxed structure of PmAl4Cu3 at the GGA-PBE level of DFT.

Results
Magnetization   0.0 μB per cell
Calculated total energy   -4.34 eV per atom
Formation enthalpy at 0 K   -341 meV/atom
Calculated density   5.34 g/cm³

Cell: 4.079 4.079 8.292 Å, 90.00 90.00 90.00°
Positions (direct):
1 Cu 0.500 0.500 0.352
2 Al 0.500 0.000 0.175
3 Al 0.000 0.500 0.175
4 Pm 0.000 0.000 0.500
5 Cu 0.000 0.000 0.000
6 Al 0.500 0.000 0.825
7 Cu 0.500 0.500 0.648
8 Al 0.000 0.500 0.825


3.
Computed, not measured: a relaxed structure of Pm6Al5Cu at the GGA-PBE level of DFT.

Results
Magnetization   0.0 μB per cell
Calculated total energy   -4.59 eV per atom
Formation enthalpy at 0 K   -316 meV/atom
Calculated density   5.89 g/cm³

Cell: 5.206 7.398 8.244 Å, 90.00 71.54 90.00°
Positions (direct):
1 Al 0.332 0.000 0.336
2 Pm 0.163 0.247 0.673
3 Al 0.668 0.000 0.664
4 Al 0.000 0.500 0.000
5 Al 0.332 0.500 0.336
6 Pm 0.163 0.753 0.673
7 Pm 0.500 0.243 0.000
8 Pm 0.837 0.247 0.327
9 Al 0.668 0.500 0.664
10 Pm 0.837 0.753 0.327
11 Pm 0.500 0.757 0.000
12 Cu 0.000 0.000 0.000


4.
Computed, not measured: a relaxed structure of PmAl6Cu2 at the GGA-PBE level of DFT.

Results
Magnetization   0.0 μB per cell
Calculated total energy   -3.70 eV per atom
Formation enthalpy at 0 K   234 meV/atom
Calculated density   3.69 g/cm³

Cell: 8.206 8.206 8.206 Å, 60.00 60.00 60.00°
Positions (direct):
1 Al 0.482 0.018 0.018
2 Pm 0.500 0.500 0.500
3 Al 0.018 0.482 0.482
4 Al 0.018 0.018 0.482
5 Cu 0.125 0.125 0.125
6 Al 0.768 0.232 0.768
7 Pm 0.750 0.750 0.750
8 Al 0.768 0.768 0.232
9 Al 0.232 0.232 0.768
10 Al 0.018 0.482 0.018
11 Al 0.768 0.232 0.232
12 Cu 0.125 0.625 0.125
13 Cu 0.125 0.125 0.625
14 Al 0.482 0.018 0.482
15 Al 0.482 0.482 0.018
16 Cu 0.625 0.125 0.125
17 Al 0.232 0.768 0.232
18 Al 0.232 0.768 0.768